(1)
{
  "formula": "K3HoOs2O9",
  "functional": "GGA-PBE",
  "state": "relaxed",
  "cell": [[-0.4275, -1.2823, 5.5661], [-0.2268, -4.1661, -3.9243], [7.0437, -0.7337, 0.3719]],
  "species": ["K", "K", "K", "Ho", "Os", "Os", "O", "O", "O", "O", "O", "O", "O", "O", "O"],
  "fractional_positions": [[0.3333, 0.6667, 0.6632], [0.0000, 0.0000, 0.0000], [0.6667, 0.3333, 0.3368], [0.0000, 0.0000, 0.5000], [0.3333, 0.6667, 0.1542], [0.6667, 0.3333, 0.8458], [0.8218, 0.1782, 0.6899], [0.8218, 0.6437, 0.6899], [0.3563, 0.1782, 0.6899], [0.6437, 0.8218, 0.3101], [0.1782, 0.3563, 0.3101], [0.1782, 0.8218, 0.3101], [0.5000, 0.0000, 0.0000], [0.0000, 0.5000, 0.0000], [0.5000, 0.5000, 0.0000]],
  "e_form_raw_ev_per_atom": -1.73,
  "n_ef_per_ev_fu": 3.624,
  "energy_ev_per_atom": -6.7310
}


(2)
{
  "formula": "Pr2Sm3Ho",
  "functional": "GGA-PBE",
  "state": "relaxed",
  "cell": [[-3.2588, -4.4801, 3.9349], [0.0201, -10.3344, -0.0450], [2.3790, -3.8508, 9.2905]],
  "species": ["Pr", "Pr", "Pr", "Pr", "Sm", "Sm", "Sm", "Sm", "Sm", "Sm", "Ho", "Ho"],
  "fractional_positions": [[0.5858, 0.5979, 0.0681], [0.9142, 0.9319, 0.4021], [0.0858, 0.0681, 0.5979], [0.4142, 0.4021, 0.9319], [0.7500, 0.7362, 0.2638], [0.2500, 0.2638, 0.7362], [0.1633, 0.6693, 0.6673], [0.3367, 0.3327, 0.3307], [0.8367, 0.3307, 0.3327], [0.6633, 0.6673, 0.6693], [0.5000, 0.0000, 0.0000], [0.0000, 0.0000, 0.0000]],
  "ef_ev_per_fu": 1.04,
  "n_ef_per_ev_fu": 9.935,
  "energy_ev_per_atom": -4.5421,
  "de_polymorph_ev_per_atom": 0.000
}